Entry 1:
# UBH (PBE, optimized geometry)
# - offset from the most stable computed form (meV per atom) = 131
# - M_tot (μB/f.u.) = 0.00
# - calculated volume (Å³/cell) = 34.55
data_UBH
_chemical_formula_sum 'U1 B1 H1'
_space_group_name_H-M_alt 'P -6 m 2'
_space_group_IT_number 187
_space_group_name_Hall 'P -6 2'
_cell_length_a 3.7067
_cell_length_b 3.7067
_cell_length_c 2.9035
_cell_angle_alpha 90.00
_cell_angle_beta 90.00
_cell_angle_gamma 120.00
loop_
_atom_site_label
_atom_site_fract_x
_atom_site_fract_y
_atom_site_fract_z
U1 0.0000 0.0000 0.0000
B1 0.6667 0.3333 0.5000
H1 0.3333 0.6667 0.0000


Entry 2:
# UB2H6 (PBE, optimized geometry)
# - offset from the most stable computed form (meV per atom) = 0
# - M_tot (μB/f.u.) = 2.13
# - calculated volume (Å³/cell) = 264.94
data_UB2H6
_chemical_formula_sum 'U4 B8 H24'
_space_group_name_H-M_alt 'C 1 2/c 1'
_space_group_IT_number 15
_space_group_name_Hall '-C 2yc'
_cell_length_a 9.507
_cell_length_b 5.854
_cell_length_c 6.680
_cell_angle_alpha 90.00
_cell_angle_beta 134.55
_cell_angle_gamma 90.00
loop_
_atom_site_label
_atom_site_fract_x
_atom_site_fract_y
_atom_site_fract_z
U1 0.000 0.250 0.250
B1 0.250 0.024 0.201
H1 0.095 0.116 0.987
H2 0.095 0.385 0.704
H3 0.250 0.006 0.387


Entry 3:
# UB2H6 (PBE, optimized geometry)
# - offset from the most stable computed form (meV per atom) = 1198
# - M_tot (μB/f.u.) = 2.45
# - calculated volume (Å³/cell) = 239.62
data_UB2H6
_chemical_formula_sum 'U4 B8 H24'
_space_group_name_H-M_alt 'F m -3 m'
_space_group_IT_number 225
_space_group_name_Hall '-F 4 2 3'
_cell_length_a 6.211
_cell_length_b 6.211
_cell_length_c 6.211
_cell_angle_alpha 90.00
_cell_angle_beta 90.00
_cell_angle_gamma 90.00
loop_
_atom_site_label
_atom_site_fract_x
_atom_site_fract_y
_atom_site_fract_z
U1 0.000 0.000 0.000
B1 0.250 0.250 0.250
H1 0.000 0.000 0.328